1.
Below is a relaxed structure of RbReTe, with properties calculated at the PBE level.

Cell: 6.445 3.998 8.708 Å, 90.00 102.89 90.00°
Fractional coordinates of all 6 atoms:
Rb: 0.000 0.000 0.000
Rb: 0.401 0.000 0.595
Re: 0.642 0.500 0.260
Re: 0.823 0.000 0.367
Te: 0.483 0.500 0.963
Te: 0.897 0.500 0.589

## Properties
total DFT energy (no corrections): -31.68 eV/cell
energy relative to the elements, uncorrected: 0.239 eV per atom
energy above the most stable polymorph in this dataset: 156 meV/atom
volume: 219 Å³/cell
symmetry: No. 6

=====

2.
Below is a relaxed structure of LiDyTmMo, with properties calculated at the PBE level.

Cell: 4.971 4.971 4.971 Å, 60.00 60.00 60.00°
Fractional coordinates of all 4 atoms:
Li: 0.000 0.000 0.000
Dy: 0.250 0.250 0.250
Tm: 0.750 0.750 0.750
Mo: 0.500 0.500 0.500

## Properties
total DFT energy (no corrections): -20.82 eV/cell
energy of formation: 5.764 kcal/mol of atoms
volume: 87 Å³/cell
symmetry: No. 216

=====

3.
Below is a relaxed structure of K3Ca5I12, with properties calculated at the PBE level.

Cell: 17.143 17.143 17.143 Å, 109.47 109.47 109.47°
Fractional coordinates of all 80 atoms:
K: 0.125 0.250 0.375
K: 0.125 0.375 0.750
K: 0.250 0.375 0.125
K: 0.250 0.875 0.625
K: 0.375 0.125 0.250
K: 0.375 0.750 0.125
K: 0.625 0.250 0.875
K: 0.625 0.875 0.750
K: 0.750 0.125 0.375
K: 0.750 0.625 0.875
K: 0.875 0.625 0.250
K: 0.875 0.750 0.625
Ca: 0.000 0.000 0.000
Ca: 0.000 0.000 0.500
Ca: 0.000 0.500 0.000
Ca: 0.000 0.500 0.500
Ca: 0.125 0.750 0.875
Ca: 0.125 0.875 0.250
Ca: 0.250 0.125 0.875
Ca: 0.250 0.625 0.375
Ca: 0.375 0.250 0.625
Ca: 0.375 0.625 0.750
Ca: 0.500 0.000 0.000
Ca: 0.500 0.000 0.500
Ca: 0.500 0.500 0.000
Ca: 0.500 0.500 0.500
Ca: 0.625 0.375 0.250
Ca: 0.625 0.750 0.375
Ca: 0.750 0.375 0.625
Ca: 0.750 0.875 0.125
Ca: 0.875 0.125 0.750
Ca: 0.875 0.250 0.125
I: 0.031 0.206 0.120
I: 0.031 0.325 0.911
I: 0.086 0.706 0.675
I: 0.086 0.880 0.411
I: 0.089 0.620 0.414
I: 0.089 0.969 0.675
I: 0.120 0.031 0.206
I: 0.120 0.589 0.914
I: 0.175 0.206 0.586
I: 0.175 0.469 0.589
I: 0.206 0.120 0.031
I: 0.206 0.586 0.175
I: 0.294 0.325 0.914
I: 0.294 0.469 0.380
I: 0.325 0.911 0.031
I: 0.325 0.914 0.294
I: 0.380 0.294 0.469
I: 0.380 0.586 0.911
I: 0.411 0.086 0.880
I: 0.411 0.825 0.531
I: 0.414 0.089 0.620
I: 0.414 0.825 0.794
I: 0.469 0.380 0.294
I: 0.469 0.589 0.175
I: 0.531 0.411 0.825
I: 0.531 0.620 0.706
I: 0.586 0.175 0.206
I: 0.586 0.911 0.380
I: 0.589 0.175 0.469
I: 0.589 0.914 0.120
I: 0.620 0.414 0.089
I: 0.620 0.706 0.531
I: 0.675 0.086 0.706
I: 0.675 0.089 0.969
I: 0.706 0.531 0.620
I: 0.706 0.675 0.086
I: 0.794 0.414 0.825
I: 0.794 0.880 0.969
I: 0.825 0.531 0.411
I: 0.825 0.794 0.414
I: 0.880 0.411 0.086
I: 0.880 0.969 0.794
I: 0.911 0.031 0.325
I: 0.911 0.380 0.586
I: 0.914 0.120 0.589
I: 0.914 0.294 0.325
I: 0.969 0.675 0.089
I: 0.969 0.794 0.880

## Properties
total DFT energy (no corrections): -241.46 eV/cell
energy relative to the elements, uncorrected: -1.423 eV per atom
volume: 3878 Å³/cell
symmetry: No. 230

=====

4.
Below is a relaxed structure of Tb3ErHg6, with properties calculated at the PBE level.

Cell: 9.178 5.147 11.112 Å, 90.00 106.52 90.00°
Fractional coordinates of all 20 atoms:
Tb: 0.015 0.250 0.387
Tb: 0.147 0.750 0.205
Tb: 0.271 0.250 0.992
Tb: 0.729 0.750 0.008
Tb: 0.853 0.250 0.795
Tb: 0.985 0.750 0.613
Er: 0.440 0.250 0.607
Er: 0.560 0.750 0.393
Hg: 0.035 0.750 0.911
Hg: 0.156 0.250 0.700
Hg: 0.260 0.750 0.494
Hg: 0.342 0.250 0.312
Hg: 0.359 0.750 0.806
Hg: 0.438 0.750 0.108
Hg: 0.562 0.250 0.892
Hg: 0.641 0.250 0.194
Hg: 0.658 0.750 0.688
Hg: 0.740 0.250 0.506
Hg: 0.844 0.750 0.300
Hg: 0.965 0.250 0.089

## Properties
total DFT energy (no corrections): -49.08 eV/cell
energy of formation: -9.863 kcal/mol of atoms
volume: 503 Å³/cell
symmetry: No. 11

=====

5.
Below is a relaxed structure of CaFeTcP2, with properties calculated at the PBE level.

Cell: 5.696 5.696 5.696 Å, 138.89 138.89 59.55°
Fractional coordinates of all 5 atoms:
Ca: 0.000 0.000 0.000
Fe: 0.750 0.250 0.500
Tc: 0.250 0.750 0.500
P: 0.364 0.364 0.000
P: 0.636 0.636 0.000

## Properties
total DFT energy (no corrections): -35.49 eV/cell
energy of formation: -17.689 kcal/mol of atoms
volume: 79 Å³/cell
symmetry: No. 119

=====

6.
Below is a relaxed structure of DyAl8Ni4, with properties calculated at the PBE level.

Cell: 6.588 6.588 6.588 Å, 98.65 98.65 134.38°
Fractional coordinates of all 13 atoms:
Dy: 0.000 0.000 0.000
Al: 0.000 0.344 0.344
Al: 0.000 0.656 0.656
Al: 0.278 0.500 0.778
Al: 0.344 0.000 0.344
Al: 0.500 0.278 0.778
Al: 0.500 0.722 0.222
Al: 0.656 0.000 0.656
Al: 0.722 0.500 0.222
Ni: 0.000 0.000 0.500
Ni: 0.000 0.500 0.000
Ni: 0.500 0.000 0.000
Ni: 0.500 0.500 0.500

## Properties
total DFT energy (no corrections): -65.41 eV/cell
energy of formation: -13.733 kcal/mol of atoms
volume: 188 Å³/cell
symmetry: No. 139